NaLi2Ir | PBE | relaxed

Computed properties:
The symmetry is R-3m. For the theoretical density, the calculation gives 5.4 Mg/m³. The value obtained for the final energy is -13.8 eV/f.u. For the excess energy over the best structure of this formula in the dataset, the calculation gives 0 meV per atom. For the formation enthalpy at 0 K, the calculation gives 61 meV/atom.

```
4
Lattice="-0.5352 2.7262 -0.4033 -2.2849 1.1657 1.1410 4.4390 3.5991 8.6662" Properties=species:S:1:pos:R:3 pbc="T T T"
Li 2.8254 2.9086 6.1403
Li -1.2065 4.5824 3.2636
Na 0.0000 0.0000 0.0000
Ir 0.8094 3.7455 4.7019
```

***

ZnSbTe2Ru | PBE | relaxed

Computed properties:
The symmetry is P4/mmm. For the theoretical density, the calculation gives 6.3 Mg/m³. The value obtained for the final energy is -18.4 eV/f.u. For the excess energy over the best structure of this formula in the dataset, the calculation gives 0 meV per atom. The uncorrected formation energy comes out at 0.513 eV per atom.

```
5
Lattice="5.3553 0.0000 0.0000 0.0000 5.3553 0.0000 0.0000 0.0000 4.9927" Properties=species:S:1:pos:R:3 pbc="T T T"
Sb 0.0000 0.0000 2.4963
Ru 0.0000 0.0000 0.0000
Te 2.6777 0.0000 0.0000
Te 0.0000 2.6777 0.0000
Zn 2.6777 2.6777 2.4963
```

***

SrBiB2 | PBE | relaxed

Computed properties:
The symmetry is I-42d. For the theoretical density, the calculation gives 6.0 Mg/m³. The value obtained for the final energy is -14.8 eV/f.u. For the formation enthalpy at 0 K, the calculation gives 1022 meV/atom.

```
8
Lattice="-1.1993 0.0334 -7.0706 -7.0691 -0.1566 1.1983 -4.2054 3.3686 -2.9079" Properties=species:S:1:pos:R:3 pbc="T T T"
Bi -4.7694 1.6702 -6.4573
B -10.7256 2.4113 -7.2621
B -2.7417 0.8451 -5.3331
Bi 0.0000 0.0000 0.0000
B -5.5623 0.7469 -0.5251
B -5.9179 2.4877 -4.4401
Sr -7.7044 1.5752 -2.3229
Sr -4.1342 -0.0616 -2.9362
```

***

Li3Tb2ZrTe6 | PBE | relaxed

Computed properties:
The symmetry is C2/m. For the theoretical density, the calculation gives 6.0 Mg/m³. The value obtained for the final energy is -56.1 eV/f.u. The uncorrected formation energy comes out at -1.145 eV per atom.

```
12
Lattice="7.3543 -0.0006 -0.0018 -3.6758 6.3697 -0.0018 -1.2287 -2.1275 7.0888" Properties=species:S:1:pos:R:3 pbc="T T T"
Tb 3.6764 2.1235 -0.0018
Te 2.3612 0.0002 1.8130
Te 0.0885 4.2414 5.2723
Te 2.4992 4.3274 1.8030
Tb 0.0020 4.2456 -0.0018
Li -2.4232 4.2277 3.5426
Te -0.0495 -0.0858 5.2823
Li 4.8730 0.0139 3.5426
Zr 0.0000 0.0000 0.0000
Te -1.1798 2.0453 1.8130
Li 1.2249 2.1208 3.5426
Te 3.6296 2.1963 5.2723
```

***

Pu2Ge4Pt3Au | PBE | relaxed

Computed properties:
The symmetry is P-4m2. For the theoretical density, the calculation gives 13.3 Mg/m³. The value obtained for the final energy is -74.6 eV/f.u. For the formation enthalpy at 0 K, the calculation gives -608 meV/atom.

```
10
Lattice="-0.8519 -0.4859 4.2700 -4.0665 -1.3171 -0.9612 3.2216 -9.6171 -0.4515" Properties=species:S:1:pos:R:3 pbc="T T T"
Pt 2.4020 -8.6848 1.7386
Ge -0.8652 -4.1452 -0.6443
Pu 0.3696 -2.6177 2.0235
Ge -2.4592 -0.9015 1.6544
Pt -1.6395 -1.8338 -0.5358
Ge 1.6277 -6.3734 1.8472
Ge 0.0000 0.0000 0.0000
Pu 0.3929 -7.9009 -0.8206
Pt 1.6108 -4.8085 -0.2258
Au -0.8484 -5.7100 1.4287
```

***

PmSmHo3Er | PBE | relaxed

Computed properties:
The symmetry is Cmcm. For the theoretical density, the calculation gives 8.3 Mg/m³. The value obtained for the final energy is -27.0 eV/f.u. For the formation enthalpy at 0 K, the calculation gives 120 meV/atom.

```
12
Lattice="5.8808 0.0000 0.0000 -2.9404 5.5640 0.0000 0.0000 0.0000 11.7705" Properties=species:S:1:pos:R:3 pbc="T T T"
Ho 0.0000 3.6545 5.8721
Sm 0.0000 0.0000 0.0000
Ho 2.9404 1.9095 5.8984
Ho 0.0000 1.9156 8.8279
Er 0.0000 1.8960 2.9426
Pm 0.0000 5.5523 8.8279
Ho 2.9404 3.6485 2.9426
Ho 2.9404 1.9095 11.7574
Er 2.9404 3.6681 8.8279
Ho 0.0000 3.6545 0.0131
Sm 0.0000 0.0000 5.8853
Pm 2.9404 0.0118 2.9426
```

***

NiSbP | PBE | relaxed

Computed properties:
The symmetry is Cm. For the theoretical density, the calculation gives 6.2 Mg/m³. The value obtained for the final energy is -15.7 eV/f.u. For the excess energy over the best structure of this formula in the dataset, the calculation gives 108 meV per atom. The uncorrected formation energy comes out at -0.126 eV per atom.

```
12
Lattice="-3.1072 2.0947 5.3238 -0.6683 -3.0796 0.8217 11.9884 -2.4642 0.5149" Properties=species:S:1:pos:R:3 pbc="T T T"
P 3.0525 -0.9212 5.4834
P -2.6076 1.8506 4.8151
Sb 4.2077 -0.3877 1.9692
Ni 4.7255 0.1640 4.4578
Ni 7.2029 -0.0808 5.5553
Ni 0.8746 -0.3885 5.7087
Sb 9.8678 -3.1595 2.6375
Sb 7.0505 -2.5699 2.5559
Ni -1.6029 -0.1437 4.6112
P 0.2991 1.0349 4.1221
P 5.9592 -1.7369 4.7904
Sb 1.3904 0.2019 1.8876
```

***

GdHoGaPb | PBE | relaxed

Computed properties:
The symmetry is F-43m. For the theoretical density, the calculation gives 9.5 Mg/m³. The value obtained for the final energy is -27.2 eV/f.u. For the formation enthalpy at 0 K, the calculation gives -444 meV/atom.

```
4
Lattice="-1.8928 -1.7841 4.6000 3.1741 -2.5929 3.3359 1.4932 2.2725 4.5312" Properties=species:S:1:pos:R:3 pbc="T T T"
Ho 1.3872 -1.0523 6.2335
Gd 0.0000 0.0000 0.0000
Ga 2.0808 -1.5784 9.3503
Pb 0.6936 -0.5261 3.1168
```

***

InCu2Pt | PBE | relaxed

Computed properties:
The symmetry is Imm2. For the theoretical density, the calculation gives 12.0 Mg/m³. The value obtained for the final energy is -17.8 eV/f.u. For the formation enthalpy at 0 K, the calculation gives -205 meV/atom.

```
4
Lattice="-1.9662 1.8330 -4.0142 -1.7151 -3.5579 -2.7820 -0.6089 1.1017 4.6643" Properties=species:S:1:pos:R:3 pbc="T T T"
In -1.8433 -0.8637 -3.4031
Pt -2.0770 -1.6569 -0.7481
Cu -3.6749 -1.7219 -6.7845
Cu -2.2169 1.0319 -1.3907
```

***

HgIBr2 | PBE | relaxed

Computed properties:
The symmetry is I-42d. For the theoretical density, the calculation gives 5.7 Mg/m³. The value obtained for the final energy is -5.2 eV/f.u. For the excess energy over the best structure of this formula in the dataset, the calculation gives 199 meV per atom. The uncorrected formation energy comes out at -0.013 eV per atom.

```
8
Lattice="8.5380 0.0000 0.0000 0.0000 8.5380 0.0000 4.2690 4.2690 3.9031" Properties=species:S:1:pos:R:3 pbc="T T T"
Br 10.6725 11.4035 2.9273
Br 1.4036 6.4035 0.9758
Br 7.1345 2.1345 0.9758
Hg 8.5380 4.2690 1.9516
Br 6.4035 5.6726 2.9273
I 4.2690 8.5380 1.9516
Hg 0.0000 0.0000 0.0000
I 4.2690 4.2690 0.0000
```

***

ErSn4 | PBE | relaxed

Computed properties:
The symmetry is Imma. For the theoretical density, the calculation gives 8.0 Mg/m³. The value obtained for the final energy is -22.0 eV/f.u. For the excess energy over the best structure of this formula in the dataset, the calculation gives 0 meV per atom. For the formation enthalpy at 0 K, the calculation gives -279 meV/atom.

```
10
Lattice="-1.9266 -2.2993 3.5325 4.2152 -4.7349 -0.7830 4.5091 7.6007 4.3665" Properties=species:S:1:pos:R:3 pbc="T T T"
Sn 2.1511 -0.3911 0.9186
Sn 1.2148 0.3977 3.9614
Sn -0.9633 -1.1497 1.7663
Sn 5.5829 0.1688 3.1547
Er 4.1686 -2.8236 0.4356
Er 2.6291 3.3901 6.6805
Sn 3.5034 2.5046 3.5410
Sn 1.1443 -3.5171 1.3748
Sn 4.6466 0.9576 6.1975
Sn 3.2943 -1.9381 3.5751
```

***

GaBPt4 | PBE | relaxed

Computed properties:
The symmetry is Pnc2. For the theoretical density, the calculation gives 15.1 Mg/m³. The value obtained for the final energy is -35.6 eV/f.u. For the excess energy over the best structure of this formula in the dataset, the calculation gives 0 meV per atom. For the formation enthalpy at 0 K, the calculation gives -287 meV/atom.

```
12
Lattice="-3.5386 3.3543 0.5849 -1.2881 -0.1840 -6.7379 -3.7548 -4.1058 0.8299" Properties=species:S:1:pos:R:3 pbc="T T T"
Pt -5.3240 0.0355 -0.7756
Pt -4.9208 0.8101 -3.6851
Ga -3.2136 0.0978 0.6117
B -1.1606 -0.6568 -3.2548
Pt -2.3047 0.3217 -4.7649
Ga -3.3218 -3.6323 0.7342
Pt -2.7754 -0.7776 -1.8337
Pt -4.0592 -1.8477 -4.3703
Pt -6.8309 -1.2118 -3.2647
Pt -3.3237 1.9719 -1.2109
B -4.8073 -1.0326 -2.5474
Pt -4.6201 -2.8616 -1.4241
```